1.
Density functional theory data (GGA-PBE) for a relaxed structure of TiIn2CuS.

Lattice parameters (Å, degrees): 5.464 4.061 5.464 90.00 90.00 90.00
Sites, in units of the cell vectors:
1 S 0.000 0.000 0.000
2 Ti 0.500 0.500 0.500
3 Cu 0.000 0.500 0.000
4 In 0.000 0.000 0.500
5 In 0.500 0.000 0.000

## Properties
* E_form (uncorrected): 535 meV per atom

2.
Density functional theory data (GGA-PBE) for a relaxed structure of TlInCuS2.

Lattice parameters (Å, degrees): 4.881 7.233 7.406 93.01 90.00 90.00
Sites, in units of the cell vectors:
1 Tl 0.187 0.500 0.750
2 Tl 0.813 0.500 0.250
3 In 0.589 0.000 0.250
4 In 0.411 0.000 0.750
5 Cu 0.000 0.000 0.000
6 Cu 0.000 0.000 0.500
7 S 0.731 0.772 0.909
8 S 0.731 0.228 0.591
9 S 0.269 0.772 0.409
10 S 0.269 0.228 0.091

## Properties
* E_form (uncorrected): -264 meV per atom

no.,N(E_F) (states/eV/f.u.),total moment (μB per cell)
1,6.1,0.010
2,2.4,0.000